Record 1
A plane-wave DFT calculation with PBE was carried out for crystalline NbHg2BI at its relaxed geometry.

Formation energy (no corrections) (eV/f.u.): 9.7
Excess energy over the best structure of this formula in the dataset (eV per atom): 0.000

abc: 6.170 4.202 6.170
angles: 90.00 90.00 90.00
Fractional coordinates of all 5 atoms:
1 I 0.000 0.000 0.000
2 Nb 0.500 0.500 0.500
3 B 0.000 0.500 0.000
4 Hg 0.000 0.000 0.500
5 Hg 0.500 0.000 0.000



Record 2
A plane-wave DFT calculation with PBE was carried out for crystalline NbHgB2I at its relaxed geometry.

Formation energy (no corrections) (eV/f.u.): 12.4

abc: 4.443 5.972 4.443
angles: 90.00 90.00 90.00
Fractional coordinates of all 5 atoms:
1 I 0.000 0.000 0.000
2 Nb 0.500 0.500 0.500
3 B 0.000 0.000 0.500
4 B 0.500 0.000 0.000
5 Hg 0.000 0.500 0.000